First-principles (PBE) data for a relaxed structure of Ce2POs, as listed in the Alexandria database.

Values from the calculation:
- total magnetic moment (μB/cell) = 0.00
- E_form (eV per atom) = 0.002
- SG = R-3m

```
Ce2POs
1.0
3.502 0.000 0.000
-1.751 3.033 0.000
0.000 0.000 26.259
Ce P Os
6 3 3
Direct
0.000 0.000 0.096
0.000 0.000 0.904
0.333 0.667 0.571
0.333 0.667 0.762
0.667 0.333 0.238
0.667 0.333 0.429
0.000 0.000 0.500
0.333 0.667 0.167
0.667 0.333 0.833
0.000 0.000 0.000
0.333 0.667 0.667
0.667 0.333 0.333
```